No. 1
Entry from the Alexandria database: a geometry-optimized K4Ga4Au structure (GGA-PBE).

Results
ρ: 3.365 Mg/m³
DFT formation energy: -0.0998 eV/atom

abc: 10.082 10.082 6.139
angles: 90.00 90.00 90.00
Positions (direct):
K (0.055, 0.661, 0.124)
K (0.161, 0.945, 0.624)
K (0.339, 0.555, 0.624)
K (0.445, 0.839, 0.124)
K (0.555, 0.161, 0.876)
K (0.661, 0.445, 0.376)
K (0.839, 0.055, 0.376)
K (0.945, 0.339, 0.876)
Ga (0.108, 0.295, 0.390)
Ga (0.205, 0.108, 0.110)
Ga (0.295, 0.392, 0.110)
Ga (0.392, 0.205, 0.390)
Ga (0.608, 0.795, 0.610)
Ga (0.705, 0.608, 0.890)
Ga (0.795, 0.892, 0.890)
Ga (0.892, 0.705, 0.610)
Au (0.250, 0.250, 0.750)
Au (0.750, 0.750, 0.250)

---

No. 2
Entry from the Alexandria database: a geometry-optimized K3Ga4Au7 structure (GGA-PBE).

Results
ρ: 8.750 Mg/m³
DFT formation energy: -0.2746 eV/atom

abc: 8.938 8.938 10.496
angles: 111.99 111.99 25.79
Positions (direct):
K (0.000, 0.000, 0.000)
K (0.309, 0.309, 0.364)
K (0.691, 0.691, 0.636)
Ga (0.088, 0.088, 0.345)
Ga (0.304, 0.304, 0.962)
Ga (0.696, 0.696, 0.038)
Ga (0.912, 0.912, 0.655)
Au (0.000, 0.000, 0.500)
Au (0.139, 0.139, 0.863)
Au (0.360, 0.360, 0.767)
Au (0.479, 0.479, 0.282)
Au (0.521, 0.521, 0.718)
Au (0.640, 0.640, 0.233)
Au (0.861, 0.861, 0.137)